A plane-wave DFT calculation with PBE with a Hubbard U was carried out for a relaxed structure of MoPb2O4F.

Computed properties:
The volume comes out at 14.73 Å³/atom. Its raw total energy is -0.4437 Ry/atom. The space group is C2/m, No. 12.

Geometry as POSCAR:
```
MoPb2O4F
1.0
-1.5219 -0.5832 -2.9180
-5.5233 -1.1689 1.2002
-4.1050 5.5568 -0.8837
Mo Pb O F
1 2 4 1
direct
0.0000 0.0000 0.0000
0.8124 0.6791 0.6961
0.1876 0.3209 0.3039
0.1416 0.0030 0.7137
0.4005 0.2492 0.9498
0.8584 0.9970 0.2863
0.5995 0.7508 0.0502
0.5000 0.5000 0.5000
```

A plane-wave DFT calculation with PBE with a Hubbard U was carried out for a relaxed structure of MoPbO2F.

Computed properties:
The volume comes out at 15.32 Å³/atom. Its raw total energy is -0.4423 Ry/atom. The space group is P4/mmm, No. 123.

Geometry as POSCAR:
```
MoPbO2F
1.0
4.2675 0.0000 0.0000
0.0000 4.2675 0.0000
0.0000 0.0000 4.2058
Pb Mo O F
1 1 2 1
direct
0.5000 0.5000 0.5000
0.0000 0.0000 0.0000
0.0000 0.5000 0.0000
0.5000 0.0000 0.0000
0.0000 0.0000 0.5000
```

Question: The highest raw total energy belongs to which entry?
Answer: MoPbO2F

Question: The highest raw total energy belongs to which entry?
Answer: MoPbO2F

Question: What is the raw total energy in the second record?
Answer: -0.4423 Ry/atom

Question: Which value of raw total energy does entry 2 give?
Answer: -0.4423 Ry/atom